Crystalline Hf3TiCl at its relaxed geometry, computed with PBE. Values from VASP.

Structure (Quantum ESPRESSO input):
```
&SYSTEM
  ibrav = 0, nat = 5, ntyp = 3
/
ATOMIC_SPECIES
Hf 178.49 Hf.upf
Cl 35.45 Cl.upf
Ti 47.87 Ti.upf
CELL_PARAMETERS angstrom
-4.159 -0.177 -2.225
2.215 -0.902 -4.069
-0.272 -4.630 0.878
ATOMIC_POSITIONS angstrom
Hf -2.080 -0.089 -1.112
Hf -0.136 -2.315 0.439
Hf 1.108 -0.451 -2.035
Cl 0.000 0.000 0.000
Ti -1.108 -2.855 -2.708
```

Results
Total energy = -7.776 eV per atom
Uncorrected formation energy = 0.144 eV/atom
Space-group type = Pm-3m, No. 221